## Pr5Re2O12 (GGA-PBE)

Data for an optimized crystal structure of Pr5Re2O12.

The uncorrected formation energy comes out at -2765 meV per atom. As for the crystal system: monoclinic. The value obtained for the calculated volume is 286 Å³/cell. For the magnetization, the calculation gives 0.64 μB/cell.

a b c (Å): 7.1345 7.1345 7.9276
angles (deg): 106.29 106.29 48.08
Last column: nearest neighbours and their distance in Å.
Sites, in units of the cell vectors:
Pr (0.0000, 0.0000, 0.0000)  6 O 2.39-2.42
Pr (0.3076, 0.3076, 0.1449)  7 O 2.39-2.57
Pr (0.3141, 0.3141, 0.6701)  7 O 2.40-2.57
Pr (0.6859, 0.6859, 0.3299)  7 O 2.40-2.57
Pr (0.6924, 0.6924, 0.8551)  7 O 2.39-2.57
Re (0.2124, 0.7876, 0.5000)  6 O 1.98-2.12
Re (0.7876, 0.2124, 0.5000)  6 O 1.98-2.12
O (0.0008, 0.0008, 0.6983)  2 Re 2.00
O (0.0881, 0.5945, 0.4220)  1 Re 1.98
O (0.0962, 0.5927, 0.9228)  4 Pr 2.39-2.44
O (0.4055, 0.9119, 0.5780)  1 Re 1.98
O (0.4073, 0.9038, 0.0772)  4 Pr 2.39-2.44
O (0.4989, 0.4989, 0.3348)  2 Re 2.12
O (0.5011, 0.5011, 0.6652)  2 Re 2.12
O (0.5927, 0.0962, 0.9228)  4 Pr 2.39-2.44
O (0.5945, 0.0881, 0.4220)  1 Re 1.98
O (0.9038, 0.4073, 0.0772)  4 Pr 2.39-2.44
O (0.9119, 0.4055, 0.5780)  1 Re 1.98
O (0.9992, 0.9992, 0.3017)  2 Re 2.00